[1]
# PBE AcThPt, optimized geometry
data_AcThPt
_chemical_formula_sum 'Ac1 Th1 Pt1'
_space_group_name_H-M_alt 'P 3 m 1'
_space_group_IT_number 156
_space_group_name_Hall 'P 3 -2"'
_cell_length_a 4.8282
_cell_length_b 4.8282
_cell_length_c 4.8712
_cell_angle_alpha 90.00
_cell_angle_beta 90.00
_cell_angle_gamma 120.00
loop_
_atom_site_label
_atom_site_type_symbol
_atom_site_fract_x
_atom_site_fract_y
_atom_site_fract_z
_atom_site_occupancy
Ac1 Ac 0.0000 0.0000 0.0000 1
Th1 Th 0.3333 0.6667 0.5003 1
Pt1 Pt 0.6667 0.3333 0.4959 1
# calculated density = 11045 kg/m3
# E_form = -0.5417 eV/atom
# offset from the most stable computed form = 206 meV/atom
# uncorrected energy = -19.19 eV per cell

---

[2]
# PBE AcThPt, optimized geometry
data_AcThPt
_chemical_formula_sum 'Ac4 Th4 Pt4'
_space_group_name_H-M_alt 'F -4 3 m'
_space_group_IT_number 216
_space_group_name_Hall 'F -4 2 3'
_cell_length_a 7.2951
_cell_length_b 7.2951
_cell_length_c 7.2951
_cell_angle_alpha 90.00
_cell_angle_beta 90.00
_cell_angle_gamma 90.00
loop_
_atom_site_label
_atom_site_type_symbol
_atom_site_fract_x
_atom_site_fract_y
_atom_site_fract_z
_atom_site_occupancy
Ac1 Ac 0.0000 0.0000 0.0000 1
Th1 Th 0.0000 0.0000 0.5000 1
Pt1 Pt 0.2500 0.2500 0.2500 1
# calculated density = 11191 kg/m3
# E_form = -0.4650 eV/atom
# offset from the most stable computed form = 283 meV/atom
# uncorrected energy = -75.86 eV per cell

---

[3]
# PBE AcThPt4, optimized geometry
data_AcThPt4
_chemical_formula_sum 'Ac4 Th4 Pt16'
_space_group_name_H-M_alt 'F -4 3 m'
_space_group_IT_number 216
_space_group_name_Hall 'F -4 2 3'
_cell_length_a 7.9108
_cell_length_b 7.9108
_cell_length_c 7.9108
_cell_angle_alpha 90.00
_cell_angle_beta 90.00
_cell_angle_gamma 90.00
loop_
_atom_site_label
_atom_site_type_symbol
_atom_site_fract_x
_atom_site_fract_y
_atom_site_fract_z
_atom_site_occupancy
Ac1 Ac 0.0000 0.0000 0.0000 1
Th1 Th 0.2500 0.2500 0.7500 1
Pt1 Pt 0.1247 0.1247 0.3753 1
# calculated density = 16629 kg/m3
# E_form = -0.9858 eV/atom
# uncorrected energy = -166.42 eV per cell

---

[4]
# PBE Ac4ThPt5, optimized geometry
data_Ac4ThPt5
_chemical_formula_sum 'Ac8 Th2 Pt10'
_space_group_name_H-M_alt 'I 4/m'
_space_group_IT_number 87
_space_group_name_Hall '-I 4'
_cell_length_a 9.7266
_cell_length_b 9.7266
_cell_length_c 6.1562
_cell_angle_alpha 90.00
_cell_angle_beta 90.00
_cell_angle_gamma 90.00
loop_
_atom_site_label
_atom_site_type_symbol
_atom_site_fract_x
_atom_site_fract_y
_atom_site_fract_z
_atom_site_occupancy
Ac1 Ac 0.0982 0.2988 0.0000 1
Th1 Th 0.0000 0.0000 0.5000 1
Pt1 Pt 0.0000 0.0000 0.0000 1
Pt2 Pt 0.0944 0.2862 0.5000 1
# calculated density = 12063 kg/m3
# E_form = -1.1849 eV/atom
# uncorrected energy = -131.81 eV per cell

---

[5]
# PBE AcThPt, optimized geometry
data_AcThPt
_chemical_formula_sum 'Ac4 Th4 Pt4'
_space_group_name_H-M_alt 'P 1 21/c 1'
_space_group_IT_number 14
_space_group_name_Hall '-P 2ybc'
_cell_length_a 7.7235
_cell_length_b 6.5038
_cell_length_c 7.6129
_cell_angle_alpha 90.00
_cell_angle_beta 106.78
_cell_angle_gamma 90.00
loop_
_atom_site_label
_atom_site_type_symbol
_atom_site_fract_x
_atom_site_fract_y
_atom_site_fract_z
_atom_site_occupancy
Ac1 Ac 0.1489 0.1428 0.3635 1
Th1 Th 0.4194 0.6462 0.2999 1
Pt1 Pt 0.1741 0.6215 0.5160 1
# calculated density = 11867 kg/m3
# E_form = -0.7476 eV/atom
# offset from the most stable computed form = 0 meV/atom
# uncorrected energy = -79.25 eV per cell

---

[6]
# PBE Ac2Th2Pt5, optimized geometry
data_Ac2Th2Pt5
_chemical_formula_sum 'Ac8 Th8 Pt20'
_space_group_name_H-M_alt 'C m c e'
_space_group_IT_number 64
_space_group_name_Hall '-C 2ac 2'
_cell_length_a 15.3112
_cell_length_b 7.9155
_cell_length_c 7.9366
_cell_angle_alpha 90.00
_cell_angle_beta 90.00
_cell_angle_gamma 90.00
loop_
_atom_site_label
_atom_site_type_symbol
_atom_site_fract_x
_atom_site_fract_y
_atom_site_fract_z
_atom_site_occupancy
Ac1 Ac 0.1972 0.0000 0.0000 1
Th1 Th 0.0000 0.1681 0.3323 1
Pt1 Pt 0.0000 0.0000 0.0000 1
Pt2 Pt 0.1233 0.1343 0.6336 1
# calculated density = 13075 kg/m3
# E_form = -1.1139 eV/atom
# uncorrected energy = -253.14 eV per cell

---

[7]
# PBE AcThPt3, optimized geometry
data_AcThPt3
_chemical_formula_sum 'Ac4 Th4 Pt12'
_space_group_name_H-M_alt 'C m c m'
_space_group_IT_number 63
_space_group_name_Hall '-C 2c 2'
_cell_length_a 4.0199
_cell_length_b 28.2799
_cell_length_c 4.3509
_cell_angle_alpha 90.00
_cell_angle_beta 90.00
_cell_angle_gamma 90.00
loop_
_atom_site_label
_atom_site_type_symbol
_atom_site_fract_x
_atom_site_fract_y
_atom_site_fract_z
_atom_site_occupancy
Ac1 Ac 0.0000 0.0714 0.2500 1
Th1 Th 0.0000 0.2016 0.7500 1
Pt1 Pt 0.0000 0.3076 0.7500 1
Pt2 Pt 0.0000 0.3758 0.2500 1
Pt3 Pt 0.0000 0.4712 0.2500 1
# calculated density = 14024 kg/m3
# E_form = -1.1823 eV/atom
# uncorrected energy = -142.25 eV per cell

---

[8]
# PBE AcTiPt2, optimized geometry
data_AcTiPt2
_chemical_formula_sum 'Ac1 Ti1 Pt2'
_space_group_name_H-M_alt 'P 4/m m m'
_space_group_IT_number 123
_space_group_name_Hall '-P 4 2'
_cell_length_a 3.3394
_cell_length_b 3.3394
_cell_length_c 7.4709
_cell_angle_alpha 90.00
_cell_angle_beta 90.00
_cell_angle_gamma 90.00
loop_
_atom_site_label
_atom_site_type_symbol
_atom_site_fract_x
_atom_site_fract_y
_atom_site_fract_z
_atom_site_occupancy
Ac1 Ac 0.0000 0.0000 0.0000 1
Ti1 Ti 0.0000 0.0000 0.5000 1
Pt1 Pt 0.5000 0.5000 0.3121 1
# calculated density = 13255 kg/m3
# E_form = -0.8040 eV/atom
# offset from the most stable computed form = 171 meV/atom
# uncorrected energy = -27.30 eV per cell